Density functional theory data (PBE) for a relaxed BaPdPt crystal.

a b c (Å): 4.937 4.937 4.937
angles (deg): 60.00 60.00 60.00
Positions (direct):
Ba (0.000, 0.000, 0.000)
Pd (0.250, 0.250, 0.250)
Pt (0.750, 0.750, 0.750)

Output
* space group: No. 216
* total DFT energy (no corrections): -4.14 eV/atom